Entry 1:
Density functional theory data (PBE-GGA) for Mg2PdRhO6 after structural relaxation.

Summary:
Symmetry: P4mm (99)
Total magnetization in μB per atom: 0.000

```
Mg2PdRhO6
1.0
5.4955 0.0000 0.0000
0.0000 5.4955 0.0000
0.0000 0.0000 4.3588
Mg Pd Rh O
2 1 1 6
Direct
0.0000 0.5000 0.0000 Mg
0.5000 0.0000 0.0000 Mg
0.0000 0.0000 0.7183 Pd
0.5000 0.5000 0.6940 Rh
0.0000 0.0000 0.2559 O
0.2579 0.2579 0.8282 O
0.2579 0.7421 0.8282 O
0.5000 0.5000 0.2791 O
0.7421 0.2579 0.8282 O
0.7421 0.7421 0.8282 O
```

Entry 2:
Density functional theory data (PBE-GGA) for MgSbPd2O after structural relaxation.

Summary:
Symmetry: P4/mmm (123)
Total magnetization in μB per atom: 0.000

```
MgSbPd2O
1.0
4.5562 0.0000 0.0000
0.0000 4.5562 0.0000
0.0000 0.0000 5.2692
Mg Sb Pd O
1 1 2 1
Direct
0.0000 0.0000 0.0000 Mg
0.0000 0.0000 0.5000 Sb
0.0000 0.5000 0.0000 Pd
0.5000 0.0000 0.0000 Pd
0.5000 0.5000 0.5000 O
```

Entry 3:
Density functional theory data (PBE-GGA) for MgScPdO2 after structural relaxation.

Summary:
Symmetry: P4/mmm (123)
Total magnetization in μB per atom: 0.000

```
MgScPdO2
1.0
4.2153 0.0000 0.0000
0.0000 4.2153 0.0000
0.0000 0.0000 4.5661
Mg Sc Pd O
1 1 1 2
Direct
0.0000 0.0000 0.0000 Mg
0.5000 0.5000 0.0000 Sc
0.0000 0.0000 0.5000 Pd
0.0000 0.5000 0.5000 O
0.5000 0.0000 0.5000 O
```

Entry 4:
Density functional theory data (PBE-GGA) for MgScPdO4 after structural relaxation.

Summary:
Symmetry: Imma (74)
Total magnetization in μB per atom: 0.123

```
MgScPdO4
1.0
-3.1617 3.1934 4.2088
3.1617 -3.1934 4.2088
3.1617 3.1934 -4.2088
Mg Sc Pd O
2 2 2 8
Direct
0.3874 0.1374 0.2500 Mg
0.6126 0.8626 0.7500 Mg
0.0000 0.0000 0.5000 Sc
0.0000 0.5000 0.0000 Sc
0.0000 0.5000 0.5000 Pd
0.5000 0.5000 0.0000 Pd
0.2207 0.7456 0.4751 O
0.2295 0.2544 0.9751 O
0.2511 0.2642 0.5131 O
0.2511 0.7380 0.9869 O
0.7489 0.2620 0.0131 O
0.7489 0.7358 0.4869 O
0.7705 0.7456 0.0249 O
0.7793 0.2544 0.5249 O
```

Entry 5:
Density functional theory data (PBE-GGA) for MgSi2PdO6 after structural relaxation.

Summary:
Symmetry: C2/c (15)
Total magnetization in μB per atom: 0.000

```
MgSi2PdO6
1.0
5.0090 -4.5902 0.0000
5.0090 4.5902 0.0000
-1.9418 0.0000 5.0267
Mg Si Pd O
2 4 2 12
Direct
0.0964 0.9036 0.7500 Mg
0.9036 0.0964 0.2500 Mg
0.2140 0.3826 0.7710 Si
0.3826 0.2140 0.2710 Si
0.6174 0.7860 0.7290 Si
0.7860 0.6174 0.2290 Si
0.2665 0.7335 0.2500 Pd
0.7335 0.2665 0.7500 Pd
0.0459 0.2020 0.6452 O
0.1325 0.6198 0.8563 O
0.2020 0.0459 0.1452 O
0.3457 0.3692 0.5492 O
0.3692 0.3457 0.0492 O
0.3802 0.8675 0.6437 O
0.6198 0.1325 0.3563 O
0.6308 0.6543 0.9508 O
0.6543 0.6308 0.4508 O
0.7980 0.9541 0.8548 O
0.8675 0.3802 0.1437 O
0.9541 0.7980 0.3548 O
```

Entry 6:
Density functional theory data (PBE-GGA) for Sm2MgPdO6 after structural relaxation.

Summary:
Symmetry: P2_1/c (14)
Total magnetization in μB per atom: 0.000

```
Sm2MgPdO6
1.0
5.4425 0.0000 0.0000
0.0000 5.7407 0.0000
-5.4037 0.0000 7.8077
Sm Mg Pd O
4 2 2 12
Direct
0.2322 0.0672 0.2507 Sm
0.2322 0.4328 0.7507 Sm
0.7678 0.5672 0.2493 Sm
0.7678 0.9328 0.7493 Sm
0.5000 0.0000 0.0000 Mg
0.5000 0.5000 0.5000 Mg
0.0000 0.0000 0.5000 Pd
0.0000 0.5000 0.0000 Pd
0.1358 0.2022 0.9441 O
0.1358 0.2978 0.4441 O
0.2487 0.6970 0.9461 O
0.2487 0.8030 0.4461 O
0.3545 0.0366 0.7477 O
0.3545 0.4634 0.2477 O
0.6455 0.5366 0.7523 O
0.6455 0.9634 0.2523 O
0.7513 0.1970 0.5539 O
0.7513 0.3030 0.0539 O
0.8642 0.7022 0.5559 O
0.8642 0.7978 0.0559 O
```

Entry 7:
Density functional theory data (PBE-GGA) for Sm2MgPdO5 after structural relaxation.

Summary:
Symmetry: P4/mbm (127)
Total magnetization in μB per atom: 0.000

```
Sm2MgPdO5
1.0
6.6010 0.0000 0.0000
0.0000 6.6010 0.0000
0.0000 0.0000 5.7820
Sm Mg Pd O
4 2 2 10
Direct
0.1713 0.3287 0.0000 Sm
0.3287 0.8287 0.0000 Sm
0.6713 0.1713 0.0000 Sm
0.8287 0.6713 0.0000 Sm
0.0000 0.0000 0.5000 Mg
0.5000 0.5000 0.5000 Mg
0.0000 0.5000 0.5000 Pd
0.5000 0.0000 0.5000 Pd
0.0000 0.0000 0.0000 O
0.1481 0.6481 0.2535 O
0.1481 0.6481 0.7465 O
0.3519 0.1481 0.2535 O
0.3519 0.1481 0.7465 O
0.5000 0.5000 0.0000 O
0.6481 0.8519 0.2535 O
0.6481 0.8519 0.7465 O
0.8519 0.3519 0.2535 O
0.8519 0.3519 0.7465 O
```

Entry 8:
Density functional theory data (PBE-GGA) for MgSnPdO4 after structural relaxation.

Summary:
Symmetry: Imma (74)
Total magnetization in μB per atom: 0.000

```
MgSnPdO4
1.0
-2.9953 3.0830 4.9348
2.9953 -3.0830 4.9348
2.9953 3.0830 -4.9348
Mg Sn Pd O
2 2 2 8
Direct
0.4043 0.1543 0.2500 Mg
0.5957 0.8457 0.7500 Mg
0.0000 0.5000 0.5000 Sn
0.5000 0.5000 0.0000 Sn
0.0000 0.0000 0.5000 Pd
0.0000 0.5000 0.0000 Pd
0.1952 0.7188 0.4764 O
0.2576 0.2812 0.9764 O
0.2837 0.3030 0.5192 O
0.2837 0.7645 0.9808 O
0.7163 0.2355 0.0192 O
0.7163 0.6970 0.4808 O
0.7424 0.7188 0.0236 O
0.8048 0.2812 0.5236 O
```

Entry 9:
Density functional theory data (PBE-GGA) for Sr2MgPdO after structural relaxation.

Summary:
Symmetry: P4/mmm (123)
Total magnetization in μB per atom: 0.000

```
Sr2MgPdO
1.0
5.1757 0.0000 0.0000
0.0000 5.1757 0.0000
0.0000 0.0000 4.2329
Sr Mg Pd O
2 1 1 1
Direct
0.0000 0.5000 0.0000 Sr
0.5000 0.0000 0.0000 Sr
0.0000 0.0000 0.5000 Mg
0.5000 0.5000 0.5000 Pd
0.0000 0.0000 0.0000 O
```

Entry 10:
Density functional theory data (PBE-GGA) for Sr3MgPd2O6 after structural relaxation.

Summary:
Symmetry: P-3m1 (164)
Total magnetization in μB per atom: 0.000

```
Sr3MgPd2O6
1.0
5.7557 0.0000 0.0000
-2.8778 4.9846 0.0000
0.0000 0.0000 6.4377
Sr Mg Pd O
3 1 2 6
Direct
0.0000 0.0000 0.0000 Sr
0.3333 0.6667 0.6230 Sr
0.6667 0.3333 0.3770 Sr
0.0000 0.0000 0.5000 Mg
0.3333 0.6667 0.1300 Pd
0.6667 0.3333 0.8700 Pd
0.1635 0.3269 0.3048 O
0.1635 0.8365 0.3048 O
0.3269 0.1635 0.6952 O
0.6731 0.8365 0.3048 O
0.8365 0.1635 0.6952 O
0.8365 0.6731 0.6952 O
```

Entry 11:
Density functional theory data (PBE-GGA) for TbMgPdO4 after structural relaxation.

Summary:
Symmetry: Imma (74)
Total magnetization in μB per atom: 0.123

```
TbMgPdO4
1.0
-3.2604 3.3422 4.2914
3.2604 -3.3422 4.2914
3.2604 3.3422 -4.2914
Tb Mg Pd O
2 2 2 8
Direct
0.0000 0.0000 0.0000 Tb
0.5000 0.0000 0.5000 Tb
0.3555 0.6055 0.7500 Mg
0.6445 0.3945 0.2500 Mg
0.0000 0.0000 0.5000 Pd
0.0000 0.5000 0.0000 Pd
0.2166 0.7340 0.4826 O
0.2410 0.2264 0.4854 O
0.2410 0.7555 0.0146 O
0.2486 0.2660 0.9826 O
0.7514 0.7340 0.0174 O
0.7590 0.2445 0.9854 O
0.7590 0.7736 0.5146 O
0.7834 0.2660 0.5174 O
```

Entry 12:
Density functional theory data (PBE-GGA) for MgTePdO6 after structural relaxation.

Summary:
Symmetry: P-31c (163)
Total magnetization in μB per atom: 0.000

```
MgTePdO6
1.0
5.1511 0.0000 0.0000
-2.5756 4.4610 0.0000
0.0000 0.0000 9.1880
Mg Te Pd O
2 2 2 12
Direct
0.0000 0.0000 0.0000 Mg
0.0000 0.0000 0.5000 Mg
0.3333 0.6667 0.2500 Te
0.6667 0.3333 0.7500 Te
0.3333 0.6667 0.7500 Pd
0.6667 0.3333 0.2500 Pd
0.0094 0.3559 0.1323 O
0.0094 0.6535 0.3677 O
0.3465 0.3559 0.3677 O
0.3465 0.9906 0.1323 O
0.3559 0.0094 0.6323 O
0.3559 0.3465 0.8677 O
0.6441 0.6535 0.1323 O
0.6441 0.9906 0.3677 O
0.6535 0.0094 0.8677 O
0.6535 0.6441 0.6323 O
0.9906 0.3465 0.6323 O
0.9906 0.6441 0.8677 O
```

Values of calculated total energy, in order: -5.563, -3.279, -4.695, -6.798, -6.934, -7.021, -6.760, -5.848, -4.196, -5.499, -6.494, -5.589, all in eV per atom.
Values of formation energy (no corrections), in order: -1014, 933, -88, -2090, -2196, -2423, -2202, -1473, -1174, -1601, -2029, -1180, all in meV/atom.